VASP calculation (GGA+U) on FeSi2HO6 after structural relaxation.

extended XYZ file:
```
20
Lattice="5.0463 -5.6305 0.0000 5.0463 5.6305 0.0000 -1.6266 0.0000 4.8475" Properties=species:S:1:pos:R:3 pbc="T T T"
Fe 3.8263 2.8914 3.6356
Fe 4.6396 -2.8914 1.2119
Si 2.3440 0.9177 1.6747
Si 1.5307 -0.9177 4.0984
Si 6.9353 0.9177 0.7491
Si 6.1220 -0.9177 3.1728
H 4.6396 1.8498 1.2119
H 3.8263 -1.8498 3.6356
O 2.2549 3.8261 3.8115
O 1.9315 0.3341 3.1425
O 3.7008 1.8374 1.9811
O 5.3978 3.8261 3.4598
O 2.7448 -0.3341 0.7187
O 5.5785 1.8374 0.4427
O 2.8875 -1.8374 4.4048
O 5.7212 0.3341 4.1288
O 3.0682 -3.8261 1.3877
O 4.7652 -1.8374 2.8665
O 6.5345 -0.3341 1.7050
O 6.2111 -3.8261 1.0360
```

Summary:
- Symmetry: C2/c (15)
- D(E_F): 0.00 states/eV/cell
- Calculated total energy: -71.17 eV/f.u.